# 1
! Cs3HfO4 | Alexandria via LeMat-Bulk | GGA-PBE | optimized geometry; values from VASP
! Crystal system: trigonal
! Symmetry: R3m, No. 160
&SYSTEM
  ibrav = 0, nat = 8, ntyp = 3
/
ATOMIC_SPECIES
O 16.00 O.upf
Cs 132.91 Cs.upf
Hf 178.49 Hf.upf
CELL_PARAMETERS angstrom
6.474 -1.330 -1.391
-1.407 6.457 -1.391
-1.314 -1.330 6.490
ATOMIC_POSITIONS crystal
O 0.223 0.506 0.222
O 0.506 0.222 0.223
O 0.222 0.223 0.506
O 0.896 0.896 0.896
Cs 0.781 0.781 0.393
Cs 0.393 0.781 0.781
Cs 0.781 0.393 0.781
Hf 0.199 0.199 0.199

# 2
! Cs2HfO3 | Alexandria via LeMat-Bulk | GGA-PBE | optimized geometry; values from VASP
! Crystal system: orthorhombic
! Symmetry: Cmce, No. 64
&SYSTEM
  ibrav = 0, nat = 24, ntyp = 3
/
ATOMIC_SPECIES
O 16.00 O.upf
Cs 132.91 Cs.upf
Hf 178.49 Hf.upf
CELL_PARAMETERS angstrom
3.257 -6.504 0.000
3.257 6.504 0.000
0.000 0.000 14.535
ATOMIC_POSITIONS crystal
O 0.665 0.335 0.432
O 0.335 0.665 0.568
O 0.517 0.983 0.750
O 0.483 0.017 0.250
O 0.898 0.102 0.369
O 0.165 0.835 0.068
O 0.017 0.483 0.750
O 0.835 0.165 0.932
O 0.983 0.517 0.250
O 0.398 0.602 0.131
O 0.602 0.398 0.869
O 0.102 0.898 0.631
Cs 0.371 0.629 0.927
Cs 0.942 0.058 0.129
Cs 0.442 0.558 0.371
Cs 0.871 0.129 0.573
Cs 0.629 0.371 0.073
Cs 0.129 0.871 0.427
Cs 0.058 0.942 0.871
Cs 0.558 0.442 0.629
Hf 0.743 0.257 0.828
Hf 0.243 0.757 0.672
Hf 0.757 0.243 0.328
Hf 0.257 0.743 0.172

# 3
! CsHf3O | Alexandria via LeMat-Bulk | GGA-PBE | optimized geometry; values from VASP
! Crystal system: cubic
! Energy above the most stable polymorph in this dataset: 0.00 kJ per mole of atoms
! Symmetry: Pm-3m, No. 221
&SYSTEM
  ibrav = 0, nat = 5, ntyp = 3
/
ATOMIC_SPECIES
Hf 178.49 Hf.upf
Cs 132.91 Cs.upf
O 16.00 O.upf
CELL_PARAMETERS angstrom
-1.986 -3.577 2.247
-1.415 -1.776 -4.078
3.980 -2.416 -0.328
ATOMIC_POSITIONS crystal
Hf 0.500 0.000 0.000
Hf 0.000 0.000 0.500
Hf 0.000 0.500 0.000
Cs 0.500 0.500 0.500
O 0.000 0.000 0.000

# 4
! CsHfOsO6 | Alexandria via LeMat-Bulk | GGA-PBE | optimized geometry; values from VASP
! Crystal system: orthorhombic
! Symmetry: Imma, No. 74
&SYSTEM
  ibrav = 0, nat = 18, ntyp = 4
/
ATOMIC_SPECIES
O 16.00 O.upf
Hf 178.49 Hf.upf
Os 190.23 Os.upf
Cs 132.91 Cs.upf
CELL_PARAMETERS angstrom
-2.016 -3.203 -6.598
4.798 -5.447 1.178
-5.172 1.537 5.219
ATOMIC_POSITIONS crystal
O 0.182 0.932 0.363
O 0.794 0.671 0.241
O 0.818 0.068 0.637
O 0.554 0.930 0.759
O 0.554 0.329 0.759
O 0.446 0.070 0.241
O 0.206 0.329 0.759
O 0.552 0.302 0.104
O 0.206 0.930 0.759
O 0.446 0.671 0.241
O 0.448 0.698 0.896
O 0.794 0.070 0.241
Hf 0.500 0.000 0.500
Hf 0.000 0.000 0.500
Os 0.500 0.500 0.000
Os 0.500 0.000 0.000
Cs 0.120 0.370 0.240
Cs 0.880 0.630 0.760

# 5
! CsHfPO2 | Alexandria via LeMat-Bulk | GGA-PBE | optimized geometry; values from VASP
! Crystal system: tetragonal
! Energy above the most stable polymorph in this dataset: 0.00 kJ per mole of atoms
! Symmetry: P4/mmm, No. 123
&SYSTEM
  ibrav = 0, nat = 5, ntyp = 4
/
ATOMIC_SPECIES
P 30.97 P.upf
Hf 178.49 Hf.upf
O 16.00 O.upf
Cs 132.91 Cs.upf
CELL_PARAMETERS angstrom
-2.974 1.263 -2.681
1.008 -3.141 -2.597
-3.600 -3.209 2.483
ATOMIC_POSITIONS crystal
P 0.000 0.000 0.500
Hf 0.000 0.000 0.000
O 0.500 0.000 0.000
O 0.000 0.500 0.000
Cs 0.500 0.500 0.500

# 6
! Cs2HfPO6 | Alexandria via LeMat-Bulk | GGA-PBE | optimized geometry; values from VASP
! Crystal system: trigonal
! Symmetry: P-3m1, No. 164
&SYSTEM
  ibrav = 0, nat = 10, ntyp = 4
/
ATOMIC_SPECIES
Hf 178.49 Hf.upf
O 16.00 O.upf
P 30.97 P.upf
Cs 132.91 Cs.upf
CELL_PARAMETERS angstrom
5.200 0.000 0.000
0.000 6.674 0.000
0.000 -3.337 5.780
ATOMIC_POSITIONS crystal
Hf 0.500 0.000 0.000
O 0.200 0.879 0.758
O 0.200 0.242 0.121
O 0.200 0.879 0.121
O 0.800 0.121 0.242
O 0.800 0.758 0.879
O 0.800 0.121 0.879
P 0.000 0.000 0.000
Cs 0.164 0.333 0.667
Cs 0.836 0.667 0.333

# 7
! CsHfPO2 | Alexandria via LeMat-Bulk | GGA-PBE | optimized geometry; values from VASP
! Crystal system: tetragonal
! Energy above the most stable polymorph in this dataset: 213.29 kJ per mole of atoms
! Symmetry: P4/mmm, No. 123
&SYSTEM
  ibrav = 0, nat = 5, ntyp = 4
/
ATOMIC_SPECIES
Cs 132.91 Cs.upf
P 30.97 P.upf
Hf 178.49 Hf.upf
O 16.00 O.upf
CELL_PARAMETERS angstrom
4.096 0.000 0.000
0.000 4.096 0.000
0.000 0.000 7.152
ATOMIC_POSITIONS crystal
Cs 0.000 0.000 0.000
P 0.000 0.000 0.500
Hf 0.500 0.500 0.500
O 0.000 0.500 0.000
O 0.500 0.000 0.000

# 8
! Cs2Hf3PaO12 | Alexandria via LeMat-Bulk | GGA-PBE | optimized geometry; values from VASP
! Crystal system: trigonal
! Symmetry: R-3m, No. 166
&SYSTEM
  ibrav = 0, nat = 18, ntyp = 4
/
ATOMIC_SPECIES
O 16.00 O.upf
Cs 132.91 Cs.upf
Hf 178.49 Hf.upf
Pa 231.04 Pa.upf
CELL_PARAMETERS angstrom
7.835 0.047 0.033
3.910 6.790 0.033
3.910 2.276 6.397
ATOMIC_POSITIONS crystal
O 0.936 0.311 0.311
O 0.311 0.936 0.311
O 0.311 0.311 0.936
O 0.689 0.064 0.689
O 0.071 0.676 0.071
O 0.324 0.929 0.929
O 0.929 0.929 0.324
O 0.676 0.071 0.071
O 0.064 0.689 0.689
O 0.929 0.324 0.929
O 0.071 0.071 0.676
O 0.689 0.689 0.064
Cs 0.623 0.623 0.623
Cs 0.377 0.377 0.377
Hf 0.000 0.000 0.500
Hf 0.000 0.500 0.000
Hf 0.500 0.000 0.000
Pa 0.000 0.000 0.000

Number 1: uncorrected formation energy -1.922 eV/atom. Number 2: uncorrected formation energy -2.448 eV/atom. Number 3: uncorrected formation energy 0.153 eV/atom. Number 4: uncorrected formation energy -1.965 eV/atom. Number 5: uncorrected formation energy -1.480 eV/atom. Number 6: uncorrected formation energy -2.090 eV/atom. Number 7: uncorrected formation energy 0.730 eV/atom. Number 8: uncorrected formation energy -2.502 eV/atom.